No. 1
VASP calculation (PBE) on a relaxed InNi2Br crystal.

- Polymorph energy (0 for the lowest one): 312 meV per atom

Unit cell a=3.074 b=5.649 c=8.263 alpha=90.00 beta=90.00 gamma=90.00
Space group Immm (No. 71)
Symmetry-distinct sites (fractional):
In 0.000 0.000 0.000 [2 per cell]
Ni 0.000 0.500 0.242 [4 per cell]
Br 0.000 0.000 0.500 [2 per cell]

---

No. 2
VASP calculation (PBE) on a relaxed K3Ce3YS8 crystal.

Unit cell a=8.2784 b=8.2784 c=22.3023 alpha=90.00 beta=90.00 gamma=120.00
Space group R-3m (No. 166, hexagonal axes)
Symmetry-distinct sites (fractional):
K 0.0000 0.5000 0.0000 [9 per cell]
Ce 0.0000 0.5000 0.5000 [9 per cell]
Y 0.0000 0.0000 0.5000 [3 per cell]
S 0.0000 0.0000 0.2348 [6 per cell]
S 0.0047 0.5023 0.2320 [18 per cell]

---

Number 1: formation energy (no corrections) 0.3595 eV per atom. Number 2: formation energy (no corrections) -1.8392 eV per atom.